Record 1
Entry from Alexandria via LeMat-Bulk: NaLaMn after structural relaxation (PBE).

Calculated values
Symmetry: No. 11
Offset from the most stable computed form in meV per atom: 113

abc: 4.335 3.701 10.800
angles: 90.00 101.46 90.00
Fractional positions:
Na 0.198 0.250 0.399
Na 0.802 0.750 0.601
La 0.423 0.250 0.845
La 0.577 0.750 0.155
Mn 0.053 0.250 0.050
Mn 0.947 0.750 0.950


Record 2
Entry from Alexandria via LeMat-Bulk: YScTlZn after structural relaxation (PBE).

Calculated values
Symmetry: No. 99
Offset from the most stable computed form in meV per atom: 0

abc: 3.576 3.576 7.191
angles: 90.00 90.00 90.00
Fractional positions:
Y 0.000 0.000 0.000
Sc 0.000 0.000 0.543
Tl 0.500 0.500 0.290
Zn 0.500 0.500 0.749


Record 3
Entry from Alexandria via LeMat-Bulk: CoRh5 after structural relaxation (PBE).

Calculated values
Symmetry: No. 123

abc: 2.708 2.708 11.197
angles: 90.00 90.00 90.00
Fractional positions:
Co 0.000 0.000 0.000
Rh 0.000 0.000 0.329
Rh 0.000 0.000 0.671
Rh 0.500 0.500 0.156
Rh 0.500 0.500 0.500
Rh 0.500 0.500 0.844


Record 4
Entry from Alexandria via LeMat-Bulk: RbDy2Se after structural relaxation (PBE).

Calculated values
Uncorrected formation energy in eV per atom: -0.5328
Symmetry: No. 166

abc: 11.317 11.317 11.317
angles: 19.86 19.86 19.86
Fractional positions:
Rb 0.000 0.000 0.000
Dy 0.116 0.116 0.116
Dy 0.884 0.884 0.884
Se 0.500 0.500 0.500


Record 5
Entry from Alexandria via LeMat-Bulk: Ta2AlNi6 after structural relaxation (PBE).

Calculated values
Symmetry: No. 164
Offset from the most stable computed form in meV per atom: 0

abc: 4.947 4.947 5.425
angles: 90.00 90.00 120.00
Fractional positions:
Ta 0.333 0.667 0.358
Ta 0.667 0.333 0.642
Al 0.000 0.000 0.500
Ni 0.175 0.349 0.825
Ni 0.175 0.825 0.825
Ni 0.349 0.175 0.175
Ni 0.651 0.825 0.825
Ni 0.825 0.175 0.175
Ni 0.825 0.651 0.175


Record 6
Entry from Alexandria via LeMat-Bulk: Nd3Tm3Sc after structural relaxation (PBE).

Calculated values
Symmetry: No. 12
Offset from the most stable computed form in meV per atom: 81

abc: 6.576 6.576 10.467
angles: 90.13 90.13 94.42
Fractional positions:
Nd 0.018 0.373 0.746
Nd 0.173 0.173 0.076
Nd 0.373 0.018 0.746
Nd 0.627 0.982 0.254
Nd 0.827 0.827 0.924
Nd 0.982 0.627 0.254
Tm 0.174 0.174 0.433
Tm 0.317 0.683 0.500
Tm 0.322 0.678 0.000
Tm 0.678 0.322 0.000
Tm 0.683 0.317 0.500
Tm 0.826 0.826 0.567
Sc 0.475 0.475 0.252
Sc 0.525 0.525 0.748


Number 1: E_tot -4.932 eV per atom. Number 2: E_tot -4.458 eV per atom. Number 3: E_tot -7.279 eV per atom. Number 4: E_tot -3.947 eV per atom. Number 5: E_tot -7.164 eV per atom. Number 6: E_tot -4.745 eV per atom.